1.
Here is crystalline Th6PdSe5 at its relaxed geometry from Alexandria via LeMat-Bulk. Energies are from PBE-GGA.

Unit cell a=7.3150 b=7.3150 c=7.3094 alpha=99.67 beta=99.67 gamma=119.97
Atoms (fractional coordinates):
Th 0.0835 0.4107 0.7455
Th 0.2469 0.2469 0.2493
Th 0.4107 0.0835 0.7455
Th 0.5893 0.9165 0.2545
Th 0.7531 0.7531 0.7507
Th 0.9165 0.5893 0.2545
Pd 0.0000 0.0000 0.5000
Se 0.1691 0.8309 0.0000
Se 0.3336 0.6664 0.5000
Se 0.5000 0.5000 0.0000
Se 0.6664 0.3336 0.5000
Se 0.8309 0.1691 0.0000

Calculated values
* energy relative to the elements, uncorrected: -1394 meV/atom
* symmetry: C2/m, No. 12

***

2.
Here is crystalline Th3PdSe2 at its relaxed geometry from Alexandria via LeMat-Bulk. Energies are from PBE-GGA.

Unit cell a=7.2928 b=7.2928 c=7.3787 alpha=99.59 beta=99.59 gamma=119.39
Atoms (fractional coordinates):
Th 0.0781 0.4194 0.7558
Th 0.2376 0.2376 0.2375
Th 0.4194 0.0781 0.7558
Th 0.5806 0.9219 0.2442
Th 0.7624 0.7624 0.7625
Th 0.9219 0.5806 0.2442
Pd 0.1670 0.8330 0.0000
Pd 0.8330 0.1670 0.0000
Se 0.0000 0.0000 0.5000
Se 0.3386 0.6614 0.5000
Se 0.5000 0.5000 0.0000
Se 0.6614 0.3386 0.5000

Calculated values
* energy relative to the elements, uncorrected: -1238 meV/atom
* symmetry: C2/m, No. 12

***

3.
Here is crystalline Th2Pd4Se5 at its relaxed geometry from Alexandria via LeMat-Bulk. Energies are from PBE-GGA.

Unit cell a=16.6711 b=16.6711 c=16.6711 alpha=14.62 beta=14.62 gamma=14.62
Atoms (fractional coordinates):
Th 0.1312 0.1312 0.1312
Th 0.8688 0.8688 0.8688
Pd 0.3167 0.3167 0.3167
Pd 0.4217 0.4217 0.4217
Pd 0.5783 0.5783 0.5783
Pd 0.6833 0.6833 0.6833
Se 0.2370 0.2370 0.2370
Se 0.3675 0.3675 0.3675
Se 0.5000 0.5000 0.5000
Se 0.6325 0.6325 0.6325
Se 0.7630 0.7630 0.7630

Calculated values
* energy relative to the elements, uncorrected: -790 meV/atom
* symmetry: R-3m, No. 166

***

4.
Here is crystalline Th4PdSe3 at its relaxed geometry from Alexandria via LeMat-Bulk. Energies are from PBE-GGA.

Unit cell a=7.3070 b=7.3070 c=7.3070 alpha=131.75 beta=131.75 gamma=70.63
Atoms (fractional coordinates):
Th 0.0000 0.5000 0.5000
Th 0.2475 0.2475 0.0000
Th 0.5000 0.0000 0.5000
Th 0.7525 0.7525 0.0000
Pd 0.0000 0.0000 0.0000
Se 0.2500 0.7500 0.5000
Se 0.5000 0.5000 0.0000
Se 0.7500 0.2500 0.5000

Calculated values
* energy relative to the elements, uncorrected: -1353 meV/atom
* symmetry: I4/mmm, No. 139

***

5.
Here is crystalline ThTlPdSe3 at its relaxed geometry from Alexandria via LeMat-Bulk. Energies are from PBE-GGA.

Unit cell a=9.1046 b=4.3023 c=9.5744 alpha=90.00 beta=107.98 gamma=90.00
Atoms (fractional coordinates):
Th 0.1912 0.2500 0.1663
Th 0.8088 0.7500 0.8337
Tl 0.3049 0.7500 0.7703
Tl 0.6951 0.2500 0.2297
Pd 0.4051 0.7500 0.4296
Pd 0.5949 0.2500 0.5704
Se 0.0376 0.2500 0.8416
Se 0.2938 0.2500 0.4865
Se 0.3891 0.7500 0.1322
Se 0.6109 0.2500 0.8678
Se 0.7062 0.7500 0.5135
Se 0.9624 0.7500 0.1584

Calculated values
* energy relative to the elements, uncorrected: -1036 meV/atom
* symmetry: P2_1/m, No. 11

***

6.
Here is crystalline Th3Tl3PdSe8 at its relaxed geometry from Alexandria via LeMat-Bulk. Energies are from PBE-GGA.

Unit cell a=8.3652 b=8.3652 c=9.1230 alpha=116.03 beta=116.03 gamma=61.81
Atoms (fractional coordinates):
Th 0.0000 0.0000 0.0000
Th 0.0000 0.5000 0.0000
Th 0.5000 0.0000 0.0000
Tl 0.0000 0.5000 0.5000
Tl 0.5000 0.0000 0.5000
Tl 0.5000 0.5000 0.5000
Pd 0.5000 0.5000 0.0000
Se 0.2178 0.7451 0.2099
Se 0.2391 0.2391 0.2159
Se 0.2549 0.7822 0.7901
Se 0.2880 0.2880 0.8163
Se 0.7120 0.7120 0.1837
Se 0.7451 0.2178 0.2099
Se 0.7609 0.7609 0.7841
Se 0.7822 0.2549 0.7901

Calculated values
* energy relative to the elements, uncorrected: -1084 meV/atom
* symmetry: C2/m, No. 12

***

7.
Here is crystalline TiPdSe4 at its relaxed geometry from Alexandria via LeMat-Bulk. Energies are from PBE-GGA.

Unit cell a=6.0999 b=3.6342 c=6.4234 alpha=90.00 beta=90.26 gamma=90.00
Atoms (fractional coordinates):
Ti 0.0000 0.0000 0.0000
Pd 0.5000 0.5000 0.0000
Se 0.1635 0.5000 0.2396
Se 0.3384 0.0000 0.7679
Se 0.6616 0.0000 0.2321
Se 0.8365 0.5000 0.7604

Calculated values
* energy relative to the elements, uncorrected: -627 meV/atom
* symmetry: P2/m, No. 10

***

8.
Here is crystalline TiPd2Se2 at its relaxed geometry from Alexandria via LeMat-Bulk. Energies are from PBE-GGA.

Unit cell a=6.9022 b=6.9022 c=6.9022 alpha=147.54 beta=147.54 gamma=46.56
Atoms (fractional coordinates):
Ti 0.0000 0.0000 0.0000
Pd 0.3979 0.3979 0.0000
Pd 0.6021 0.6021 0.0000
Se 0.2500 0.7500 0.5000
Se 0.7500 0.2500 0.5000

Calculated values
* energy relative to the elements, uncorrected: 109 meV/atom
* symmetry: I4/mmm, No. 139
* polymorph energy (0 for the lowest one): 338.0 meV/atom

***

9.
Here is crystalline Ti2PdSe at its relaxed geometry from Alexandria via LeMat-Bulk. Energies are from PBE-GGA.

Unit cell a=5.6948 b=5.6948 c=5.6948 alpha=104.80 beta=104.80 gamma=119.28
Atoms (fractional coordinates):
Ti 0.1163 0.6250 0.9913
Ti 0.3750 0.3663 0.4913
Ti 0.6337 0.1250 0.0087
Ti 0.8750 0.8837 0.5087
Pd 0.2500 0.7500 0.5000
Pd 0.5000 0.5000 0.0000
Se 0.0000 0.0000 0.0000
Se 0.7500 0.2500 0.5000

Calculated values
* energy relative to the elements, uncorrected: -383 meV/atom
* symmetry: I-42d, No. 122

***

10.
Here is crystalline TiPd2Se at its relaxed geometry from Alexandria via LeMat-Bulk. Energies are from PBE-GGA.

Unit cell a=6.8923 b=6.8923 c=6.8923 alpha=130.78 beta=130.78 gamma=72.16
Atoms (fractional coordinates):
Ti 0.0000 0.0000 0.0000
Ti 0.7500 0.2500 0.5000
Pd 0.1235 0.6250 0.9985
Pd 0.3750 0.3735 0.4985
Pd 0.6265 0.1250 0.0015
Pd 0.8750 0.8765 0.5015
Se 0.2500 0.7500 0.5000
Se 0.5000 0.5000 0.0000

Calculated values
* energy relative to the elements, uncorrected: 83 meV/atom
* symmetry: I-42d, No. 122

***

11.
Here is crystalline Ti3PdSe at its relaxed geometry from Alexandria via LeMat-Bulk. Energies are from PBE-GGA.

Unit cell a=4.6138 b=4.6138 c=4.6138 alpha=90.00 beta=90.00 gamma=90.00
Atoms (fractional coordinates):
Ti 0.0000 0.0000 0.5000
Ti 0.0000 0.5000 0.0000
Ti 0.5000 0.0000 0.0000
Pd 0.5000 0.5000 0.5000
Se 0.0000 0.0000 0.0000

Calculated values
* energy relative to the elements, uncorrected: 54 meV/atom
* symmetry: Pm-3m, No. 221
* polymorph energy (0 for the lowest one): 0.0 meV/atom

***

12.
Here is crystalline Ti2Pd2Se at its relaxed geometry from Alexandria via LeMat-Bulk. Energies are from PBE-GGA.

Unit cell a=6.8072 b=6.8072 c=3.7210 alpha=90.00 beta=90.00 gamma=90.00
Atoms (fractional coordinates):
Ti 0.1593 0.3407 0.0000
Ti 0.3407 0.8407 0.0000
Ti 0.6593 0.1593 0.0000
Ti 0.8407 0.6593 0.0000
Pd 0.1370 0.6370 0.5000
Pd 0.3630 0.1370 0.5000
Pd 0.6370 0.8630 0.5000
Pd 0.8630 0.3630 0.5000
Se 0.0000 0.0000 0.0000
Se 0.5000 0.5000 0.0000

Calculated values
* energy relative to the elements, uncorrected: -492 meV/atom
* symmetry: P4/mbm, No. 127
* polymorph energy (0 for the lowest one): 0.0 meV/atom